! LiNbV PBE optimized geometry; values from VASP
! **Fermi-level density of states**: 1.245 states/eV per atom
! **Formation enthalpy at 0 K**: 1.0 eV/f.u.
! **Raw total energy**: -40.3 eV per cell
&SYSTEM
  ibrav = 0, nat = 6, ntyp = 3
/
ATOMIC_SPECIES
Li 6.94 Li.upf
Nb 92.91 Nb.upf
V 50.94 V.upf
CELL_PARAMETERS angstrom
2.588 0.000 0.000
0.000 4.728 0.000
-0.232 0.000 8.095
ATOMIC_POSITIONS angstrom
Li 0.484 1.182 0.579
Li 1.872 3.546 7.515
Nb 0.261 3.546 4.788
Nb 2.095 1.182 3.307
V 1.090 3.546 2.212
V 1.266 1.182 5.883